1.
Entry from the Alexandria database: crystalline Be2Re2Ni at its relaxed geometry (GGA-PBE).

Structure (CIF):
```
data_Be2Re2Ni
_symmetry_space_group_name_H-M 'I 4/m m m'
_symmetry_Int_Tables_number 139
_symmetry_space_group_name_Hall '-I 4 2'
_cell_length_a 4.183
_cell_length_b 4.183
_cell_length_c 7.563
_cell_angle_alpha 90.00
_cell_angle_beta 90.00
_cell_angle_gamma 90.00
loop_
_atom_site_label
_atom_site_type_symbol
_atom_site_fract_x
_atom_site_fract_y
_atom_site_fract_z
Be1 Be 0.000 0.500 0.250
Re1 Re 0.000 0.000 0.160
Ni1 Ni 0.000 0.000 0.500
```

Summary:
The formation energy comes out at 0.750 eV/atom. For the polymorph energy (0 for the lowest one), the calculation gives 0.913 eV per atom.

***

2.
Entry from the Alexandria database: crystalline BeReNi2 at its relaxed geometry (GGA-PBE).

Structure (CIF):
```
data_BeReNi2
_symmetry_space_group_name_H-M 'P 4/m m m'
_symmetry_Int_Tables_number 123
_symmetry_space_group_name_Hall '-P 4 2'
_cell_length_a 2.594
_cell_length_b 2.594
_cell_length_c 6.488
_cell_angle_alpha 90.00
_cell_angle_beta 90.00
_cell_angle_gamma 90.00
loop_
_atom_site_label
_atom_site_type_symbol
_atom_site_fract_x
_atom_site_fract_y
_atom_site_fract_z
Be1 Be 0.000 0.000 0.000
Re1 Re 0.000 0.000 0.500
Ni1 Ni 0.500 0.500 0.206
```

Summary:
The formation energy comes out at -0.218 eV/atom.

***

3.
Entry from the Alexandria database: crystalline Be2ReNi at its relaxed geometry (GGA-PBE).

Structure (CIF):
```
data_Be2ReNi
_symmetry_space_group_name_H-M 'I -4 2 d'
_symmetry_Int_Tables_number 122
_symmetry_space_group_name_Hall 'I -4 2bw'
_cell_length_a 5.924
_cell_length_b 5.924
_cell_length_c 4.981
_cell_angle_alpha 90.00
_cell_angle_beta 90.00
_cell_angle_gamma 90.00
loop_
_atom_site_label
_atom_site_type_symbol
_atom_site_fract_x
_atom_site_fract_y
_atom_site_fract_z
Be1 Be 0.223 0.750 0.125
Re1 Re 0.000 0.000 0.500
Ni1 Ni 0.000 0.000 0.000
```

Summary:
The formation energy comes out at 0.281 eV/atom. For the polymorph energy (0 for the lowest one), the calculation gives 0.471 eV per atom.

***

no.,calculated density (g cm⁻³)
1,11.27
2,11.89
3,9.99